Below is a relaxed CrTe2P crystal, with properties calculated at the GGA-PBEsol level.

Unit cell a=3.640 b=3.640 c=25.671 alpha=90.00 beta=90.00 gamma=120.00
Fractional positions:
Cr: 0.000 0.000 0.000
Cr: 0.333 0.667 0.667
Cr: 0.667 0.333 0.333
Te: 0.000 0.000 0.396
Te: 0.000 0.000 0.604
Te: 0.333 0.667 0.062
Te: 0.333 0.667 0.271
Te: 0.667 0.333 0.729
Te: 0.667 0.333 0.938
P: 0.000 0.000 0.500
P: 0.333 0.667 0.167
P: 0.667 0.333 0.833

Computed properties:
Its calculated density is 5.72 g/cm3. As for the total magnetization: 2.81 μB/f.u. As for the density of states at the Fermi level: 0.5798 states/eV per atom. Its symmetry is R-3m (166). For the formation energy without anion corrections, the calculation gives 39 kJ/mol of atoms.